The following is a DFT calculation (PBE with a Hubbard U) of a geometry-optimized CrI2NO structure.

Unit cell a=5.3623 b=5.3623 c=3.5431 alpha=90.00 beta=90.00 gamma=90.00
With the nearest neighbours (Å) after each atom.
Atoms (fractional coordinates):
O1 0.0000 0.0000 0.5000  2 Cr 1.77
I1 0.5000 0.0000 0.0000  2 Cr 2.68
I2 0.0000 0.5000 0.0000  2 Cr 2.68
Cr1 0.0000 0.0000 0.0000  2 O 1.77
N1 0.5000 0.5000 0.5000  8 I 3.21, 2 N 3.54

## Properties
**Electronic total energy**: -3.63 eV per atom
**V**: 20.38 Å³ per atom
**Relative energy among the computed polymorphs**: 0.000 eV per formula unit
**D(E_F)**: 1.06 states/eV/atom